# 1
Compound: TaAlBr2
Source: the Alexandria database
Functional: PBE-GGA
Structure: relaxed

POSCAR file:
```
TaAlBr2
1.0
4.882 -1.593 0.000
4.882 1.593 0.000
-2.856 0.000 7.433
Ta Al Br
1 1 2
Direct
0.000 0.000 0.000 Ta
0.251 0.251 0.910 Al
0.478 0.478 0.713 Br
0.623 0.623 0.271 Br
```

E_form (uncorrected) in eV/atom: -0.10
Size of the total moment in μB per formula unit: 0.0



# 2
Compound: TaAlBr3
Source: the Alexandria database
Functional: PBE-GGA
Structure: relaxed

POSCAR file:
```
TaAlBr3
1.0
5.183 0.000 0.000
0.000 5.183 0.000
0.000 0.000 5.183
Ta Al Br
1 1 3
Direct
0.000 0.000 0.000 Ta
0.500 0.500 0.500 Al
0.000 0.500 0.500 Br
0.500 0.000 0.500 Br
0.500 0.500 0.000 Br
```

E_form (uncorrected) in eV/atom: 0.71
Size of the total moment in μB per formula unit: 4.1



# 3
Compound: TaAlBr2
Source: the Alexandria database
Functional: PBE-GGA
Structure: relaxed

POSCAR file:
```
TaAlBr2
1.0
3.083 -4.315 0.000
3.083 4.315 0.000
0.000 0.000 3.157
Ta Al Br
1 1 2
Direct
0.000 0.000 0.000 Ta
0.500 0.500 0.000 Al
0.000 0.500 0.500 Br
0.500 0.000 0.500 Br
```

E_form (uncorrected) in eV/atom: 0.69
Size of the total moment in μB per formula unit: 0.0



# 4
Compound: Ta2AlBr
Source: the Alexandria database
Functional: PBE-GGA
Structure: relaxed

POSCAR file:
```
Ta2AlBr
1.0
3.013 0.000 0.000
0.000 4.793 0.000
0.000 0.000 5.195
Ta Al Br
2 1 1
Direct
0.000 0.000 0.000 Ta
0.500 0.000 0.500 Ta
0.000 0.500 0.500 Al
0.500 0.500 0.000 Br
```

E_form (uncorrected) in eV/atom: 0.48
Size of the total moment in μB per formula unit: 0.0



# 5
Compound: Ta2AlBr
Source: the Alexandria database
Functional: PBE-GGA
Structure: relaxed

POSCAR file:
```
Ta2AlBr
1.0
1.523 -2.636 0.000
1.523 2.636 0.000
0.000 0.000 9.331
Ta Al Br
2 1 1
Direct
0.000 0.000 0.247 Ta
0.000 0.000 0.753 Ta
0.500 0.500 0.000 Al
0.500 0.500 0.500 Br
```

E_form (uncorrected) in eV/atom: 0.36
Size of the total moment in μB per formula unit: 0.0



# 6
Compound: TaAl2Br
Source: the Alexandria database
Functional: PBE-GGA
Structure: relaxed

POSCAR file:
```
TaAl2Br
1.0
0.000 3.342 3.342
3.342 0.000 3.342
3.342 3.342 0.000
Ta Al Br
1 2 1
Direct
0.000 0.000 0.000 Ta
0.250 0.250 0.250 Al
0.500 0.500 0.500 Al
0.750 0.750 0.750 Br
```

E_form (uncorrected) in eV/atom: 0.65
Size of the total moment in μB per formula unit: 1.8



In the order shown, the computed E_tot values come out to -19.35, -17.06, -16.20, -27.21, -27.69, -18.43 eV/cell.